(1)
The following is a DFT calculation (PBE) of an optimized crystal structure of Pm3Mg2Cd6.

a = 4.4989 Å, b = 4.4989 Å, c = 28.4081 Å
α = 90.00°, β = 90.00°, γ = 90.00°
Closest atoms and distances in Å follow each position.
Space group I4/mmm (No. 139)
Symmetry-distinct sites (fractional):
Pm: 0.0000 0.0000 0.0000 (multiplicity 2)  8 Mg 3.46, 8 Cd 3.85
Pm: 0.0000 0.0000 0.2045 (multiplicity 4)  9 Cd 3.25-3.51
Mg: 0.0000 0.0000 0.4517 (multiplicity 4)  1 Mg 2.74, 4 Cd 2.85
Cd: 0.0000 0.0000 0.3191 (multiplicity 4)  4 Cd 3.02, 5 Pm 3.25
Cd: 0.0000 0.5000 0.1098 (multiplicity 8)  2 Mg 2.85, 6 Cd 3.02-3.18

(2)
The following is a DFT calculation (PBE) of an optimized crystal structure of ZrTaNi2.

a = 6.2363 Å, b = 6.2363 Å, c = 6.2363 Å
α = 90.00°, β = 90.00°, γ = 90.00°
Closest atoms and distances in Å follow each position.
Space group F-43m (No. 216)
Symmetry-distinct sites (fractional):
Zr: 0.0000 0.0000 0.0000 (multiplicity 4)  4 Ta 2.70, 4 Ni 2.70
Ta: 0.2500 0.2500 0.2500 (multiplicity 4)  4 Zr 2.70, 4 Ni 2.70
Ni: 0.0000 0.0000 0.5000 (multiplicity 4)  4 Ta 2.70, 4 Ni 2.70
Ni: 0.2500 0.2500 0.7500 (multiplicity 4)  4 Zr 2.70, 4 Ni 2.70

no.,density of states at the Fermi level (states/eV/atom),energy (eV per cell)
1,0.910,-49.80
2,1.014,-126.71